# 1
A plane-wave DFT calculation with meta-GGA SCAN was carried out for a PBEsol-optimized structure of K3V5O14.

The structure belongs to space group P31m (No. 157); the cell edges are 8.6451, 8.6451 and 5.0809 Å and the angles 90.00°, 90.00° and 120.00°. The asymmetric unit holds K at (0.0000, 0.3915, 0.0000), V at (0.0000, 0.7711, 0.4741), V at (0.3333, 0.6667, 0.4644), O at (0.0000, 0.1674, 0.4047), O at (0.0000, 0.7514, 0.7892), O at (0.1684, 0.7074, 0.3466) and O at (0.3333, 0.6667, 0.7866).

Its formation energy from raw total energies is -2.555 eV per atom.

---

# 2
A plane-wave DFT calculation with meta-GGA SCAN was carried out for a PBEsol-optimized structure of AgAsW2.

The structure belongs to space group P4/mmm (No. 123); the cell edges are 3.006, 3.006 and 6.846 Å and the angles 90.00°, 90.00° and 90.00°. The asymmetric unit holds Ag at (0.000, 0.000, 0.000), As at (0.000, 0.000, 0.500) and W at (0.500, 0.500, 0.278).

For the energy of formation, the calculation gives 0.650 eV per atom.

---

# 3
A plane-wave DFT calculation with meta-GGA SCAN was carried out for a PBEsol-optimized structure of CsSr2RePd.

The structure belongs to space group P4/mmm (No. 123); the cell edges are 5.713, 5.713 and 5.981 Å and the angles 90.00°, 90.00° and 90.00°. The asymmetric unit holds Cs at (0.000, 0.000, 0.000), Sr at (0.000, 0.500, 0.500), Re at (0.500, 0.500, 0.000) and Pd at (0.000, 0.000, 0.500).

For the energy of formation, the calculation gives 1.137 eV per atom.

---

Computed magnetic moment, in the same sequence as the records: 0.0, 0.0, 3.8 μB per formula unit.
Computed uncorrected energy, in the same sequence as the records: -0.8549, -3.4606, -2.6540 Ry per atom.
Computed calculated density, in the same sequence as the records: 3.01, 14.78, 5.11 Mg/m³.